## ThZr4N6 (PBE)

Data for crystalline ThZr4N6 at its relaxed geometry.

Calculated values
Raw formation energy, eV/atom: -1.627

Cell and atoms, written as CIF:
```
data_ThZr4N6
_cell_length_a 3.276
_cell_length_b 10.811
_cell_length_c 16.451
_cell_angle_alpha 90.00
_cell_angle_beta 90.00
_cell_angle_gamma 90.00
_space_group_name_H-M_alt 'C m c m'
_space_group_IT_number 63
_space_group_name_Hall '-C 2c 2'
loop_
_atom_site_label
_atom_site_type_symbol
_atom_site_fract_x
_atom_site_fract_y
_atom_site_fract_z
Th1 Th 0.000 0.154 0.250
Zr1 Zr 0.000 0.102 0.632
Zr2 Zr 0.000 0.365 0.546
N1 N 0.000 0.000 0.000
N2 N 0.000 0.182 0.750
N3 N 0.000 0.269 0.086
N4 N 0.000 0.460 0.661
```